1.
ZrCr4Ru (PBE, relaxed); space group = F-43m (216); energy of formation from the pure elements = 65 meV per atom; DFT total energy = -9.3217 eV per atom
1.0
0.026 -2.144 4.397
-4.099 -1.996 1.772
-0.398 -4.863 0.352
Cr Ru Zr
4 1 1
Direct
0.626 0.122 0.626
0.626 0.626 0.122
0.626 0.626 0.626
0.122 0.626 0.626
0.250 0.250 0.250
0.000 0.000 0.000

2.
CrFeIN2 (PBE, relaxed); relative energy among the computed polymorphs = 176 meV per atom; space group = P4/mmm (123); formation energy (no corrections) = 1.084 eV/atom; DFT total energy = -6.1738 eV per atom
1.0
-1.130 3.413 -0.797
-1.414 0.323 3.385
5.562 2.333 2.100
I N Cr Fe
1 2 1 1
Direct
0.000 0.000 0.500
0.000 0.500 0.000
0.500 0.000 0.000
0.500 0.500 0.500
0.000 0.000 0.000

3.
BeMoPt (PBE, relaxed); relative energy among the computed polymorphs = 168 meV per atom; space group = P-1 (2); energy of formation from the pure elements = -239 meV per atom; DFT total energy = -7.1046 eV per atom
1.0
5.978 -0.037 -0.023
-1.069 4.558 -0.004
-0.837 0.922 2.936
Mo Be Pt
2 2 2
Direct
0.065 0.972 0.561
0.966 0.516 0.241
0.659 0.619 0.535
0.373 0.871 0.266
0.367 0.439 0.977
0.665 0.049 0.825

4.
ZrSi2Hg (PBE, relaxed); relative energy among the computed polymorphs = 109 meV per atom; space group = P4/mmm (123); formation energy (no corrections) = 0.002 eV/atom; DFT total energy = -4.9223 eV per atom
1.0
4.922 0.002 0.000
-0.002 4.922 0.000
0.000 0.000 3.083
Hg Si Zr
1 2 1
Direct
0.000 0.500 0.500
0.500 0.500 0.000
0.000 0.000 0.000
0.500 0.000 0.500

5.
Zr2CrAuN (PBE, relaxed); space group = P4/mmm (123); formation energy (no corrections) = -0.773 eV/atom; DFT total energy = -8.4374 eV per atom
1.0
-3.778 1.048 2.379
2.355 -0.399 3.916
0.904 3.648 -0.172
Au Zr Cr N
1 2 1 1
Direct
0.500 0.500 0.500
0.000 0.500 0.000
0.500 0.000 0.000
0.000 0.000 0.500
0.000 0.000 0.000

6.
TcTe2PI (PBE, relaxed); relative energy among the computed polymorphs = 0 meV per atom; space group = P4/mmm (123); formation energy (no corrections) = 0.897 eV/atom; DFT total energy = -3.8252 eV per atom
1.0
-3.706 -3.509 -0.310
1.269 -1.749 4.634
-3.540 3.535 2.304
I P Tc Te
1 1 1 2
Direct
0.000 0.000 0.500
0.500 0.500 0.500
0.000 0.000 0.000
0.000 0.500 0.000
0.500 0.000 0.000

Number 1: magnetization 0.00 μB/cell. Number 2: magnetization 3.92 μB/cell. Number 3: magnetization 0.00 μB/cell. Number 4: magnetization 0.00 μB/cell. Number 5: magnetization 0.00 μB/cell. Number 6: magnetization 0.00 μB/cell.